Here is an optimized crystal structure of Be2PRu from the Alexandria database. Energies are from PBE.

Values from the calculation:
The energy relative to the elements is -0.23 eV/atom. Its energy is -5.76 eV per atom.

Unit cell a=2.9542 b=2.9542 c=4.8513 alpha=90.00 beta=90.00 gamma=90.00
Closest atoms and distances in Å follow each position.
Sites, in units of the cell vectors:
Ru 0.5000 0.5000 0.7427  6 Be 2.42-2.52, 4 P 2.44
Be 0.0000 0.0000 0.0345  1 P 2.17, 4 Be 2.32
Be 0.5000 0.5000 0.2405  4 Be 2.32, 4 P 2.40, 2 Ru 2.42-2.44
P 0.0000 0.0000 0.4823  5 Be 2.17-2.40